Here is a relaxed MnAl2GeO6 crystal from Alexandria via LeMat-Bulk. Energies are from PBE+U.

Lattice parameters (Å, degrees): 5.732 6.858 6.858 99.70 73.91 73.91
Fractional coordinates of all 20 atoms:
Mn  0.250  0.896  0.104
Mn  0.750  0.104  0.896
Al  0.327  0.708  0.555
Al  0.173  0.445  0.292
Al  0.673  0.292  0.445
Al  0.827  0.555  0.708
Ge  0.250  0.190  0.810
Ge  0.750  0.810  0.190
O  0.177  0.950  0.790
O  0.323  0.210  0.050
O  0.823  0.050  0.210
O  0.677  0.790  0.950
O  0.439  0.845  0.360
O  0.061  0.640  0.155
O  0.561  0.155  0.640
O  0.939  0.360  0.845
O  0.027  0.675  0.562
O  0.473  0.438  0.325
O  0.973  0.325  0.438
O  0.527  0.562  0.675

Fermi-level density of states ... 0.000 states/eV/atom
E_tot ... -144.62 eV per cell